Computed, not measured: a relaxed structure of Pm7CoI12 at the GGA-PBE level of DFT.

## Properties
The value obtained for the spin magnetization is 0.17 Bohr magnetons per cell. The total energy comes out at -250.5 eV for the cell shown.

abc: 15.9401 15.9401 11.1675
angles: 90.00 90.00 120.00
Space group R-3 (No. 148, hexagonal axes)
Asymmetric unit:
Pm 0.0000 0.0000 0.0000 [3 per cell]
Pm 0.0417 0.1566 0.3630 [18 per cell]
Co 0.0000 0.0000 0.5000 [3 per cell]
I 0.0196 0.5869 0.1579 [18 per cell]
I 0.0485 0.1769 0.8360 [18 per cell]